TmGaO3: optimized geometry, PBE-GGA.

Cell lengths 5.5720, 7.5738, 5.2437 Å; angles 90.00, 90.00, 90.00 degrees
Fractional coordinates of all 20 atoms:
Tm  0.0721  0.2500  0.0210
Tm  0.4279  0.7500  0.5210
Tm  0.5721  0.2500  0.4790
Tm  0.9279  0.7500  0.9790
Ga  0.0000  0.0000  0.5000
Ga  0.0000  0.5000  0.5000
Ga  0.5000  0.0000  0.0000
Ga  0.5000  0.5000  0.0000
O  0.0439  0.7500  0.3802
O  0.1930  0.5605  0.8086
O  0.1930  0.9395  0.8086
O  0.3070  0.0605  0.3086
O  0.3070  0.4395  0.3086
O  0.4561  0.2500  0.8802
O  0.5439  0.7500  0.1198
O  0.6930  0.5605  0.6914
O  0.6930  0.9395  0.6914
O  0.8070  0.0605  0.1914
O  0.8070  0.4395  0.1914
O  0.9561  0.2500  0.6198

Summary:
* formation energy without anion corrections: -1323 kJ/mol of formula units
* spin magnetization: 0.00 μB/f.u.